1.
First-principles (GGA-PBE) data for crystalline HoPaPN2 at its relaxed geometry, as listed in the Alexandria database.

abc: 3.8548 3.8548 12.1055
angles: 90.00 90.00 90.00
Positions (direct):
Ho: 0.0000 0.0000 0.0000
Ho: 0.5000 0.5000 0.5000
Pa: 0.0000 0.0000 0.3166
Pa: 0.5000 0.5000 0.8166
P: 0.0000 0.0000 0.6609
P: 0.5000 0.5000 0.1609
N: 0.0000 0.5000 0.4004
N: 0.0000 0.5000 0.9004
N: 0.5000 0.0000 0.4004
N: 0.5000 0.0000 0.9004

Results
Total energy: -8.56 eV per atom
Uncorrected formation energy: -1.335 eV per atom
Density of states at the Fermi level: 0.87 states/eV/atom

---

2.
First-principles (GGA-PBE) data for crystalline HoPa2PN6 at its relaxed geometry, as listed in the Alexandria database.

abc: 5.2476 5.2476 4.9627
angles: 90.00 90.00 90.00
Positions (direct):
Ho: 0.0000 0.0000 0.0000
Pa: 0.0000 0.5000 0.4420
Pa: 0.5000 0.0000 0.4420
P: 0.5000 0.5000 0.0503
N: 0.0000 0.0000 0.5539
N: 0.2772 0.2772 0.1770
N: 0.2772 0.7228 0.1770
N: 0.5000 0.5000 0.7104
N: 0.7228 0.2772 0.1770
N: 0.7228 0.7228 0.1770

Results
Total energy: -8.89 eV per atom
Uncorrected formation energy: -0.997 eV per atom